Run A
A plane-wave DFT calculation with PBE-GGA was carried out for crystalline HoAgSnS3 at its relaxed geometry.

```
data_HoAgSnS3
_symmetry_space_group_name_H-M 'P n m a'
_symmetry_Int_Tables_number 62
_cell_length_a 13.0419
_cell_length_b 4.0307
_cell_length_c 10.9841
_cell_angle_alpha 90.00
_cell_angle_beta 90.00
_cell_angle_gamma 90.00
loop_
_symmetry_equiv_pos_as_xyz
'x,y,z'
'-x,-y,-z'
'-x+1/2,-y,z+1/2'
'x+1/2,y,-z+1/2'
'x+1/2,-y+1/2,-z+1/2'
'-x+1/2,y+1/2,z+1/2'
'-x,y+1/2,-z'
'x,-y+1/2,z'
loop_
_atom_site_label
_atom_site_fract_x
_atom_site_fract_y
_atom_site_fract_z
Ho1 0.0108 0.2500 0.1591
Ag1 0.0247 0.7500 0.4111
Sn1 0.2417 0.2500 0.5304
S1 0.1077 0.7500 0.6311
S2 0.1101 0.2500 0.9404
S3 0.1394 0.7500 0.2260
```

Computed properties:
calculated density: 5.61 g/cm3


Run B
A plane-wave DFT calculation with PBE-GGA was carried out for crystalline HoAgSnS3 at its relaxed geometry.

```
data_HoAgSnS3
_symmetry_space_group_name_H-M 'P 1 21/m 1'
_symmetry_Int_Tables_number 11
_cell_length_a 7.4247
_cell_length_b 3.9982
_cell_length_c 9.6610
_cell_angle_alpha 90.00
_cell_angle_beta 105.19
_cell_angle_gamma 90.00
loop_
_symmetry_equiv_pos_as_xyz
'x,y,z'
'-x,-y,-z'
'-x,y+1/2,-z'
'x,-y+1/2,z'
loop_
_atom_site_label
_atom_site_fract_x
_atom_site_fract_y
_atom_site_fract_z
Ho1 0.2070 0.2500 0.1498
Ag1 0.3910 0.7500 0.4087
Sn1 0.2030 0.7500 0.6929
S1 0.0634 0.2500 0.8623
S2 0.1935 0.2500 0.4490
S3 0.4539 0.7500 0.1670
```

Computed properties:
calculated density: 5.85 g/cm3


Last place for stability: run B


Run A
A plane-wave DFT calculation with PBE-GGA was carried out for crystalline HoAgSnS3 at its relaxed geometry.

```
data_HoAgSnS3
_symmetry_space_group_name_H-M 'P n m a'
_symmetry_Int_Tables_number 62
_cell_length_a 10.5196
_cell_length_b 4.0256
_cell_length_c 13.0261
_cell_angle_alpha 90.00
_cell_angle_beta 90.00
_cell_angle_gamma 90.00
loop_
_symmetry_equiv_pos_as_xyz
'x,y,z'
'-x,-y,-z'
'-x+1/2,-y,z+1/2'
'x+1/2,y,-z+1/2'
'x+1/2,-y+1/2,-z+1/2'
'-x+1/2,y+1/2,z+1/2'
'-x,y+1/2,-z'
'x,-y+1/2,z'
loop_
_atom_site_label
_atom_site_fract_x
_atom_site_fract_y
_atom_site_fract_z
Ho1 0.0139 0.2500 0.2339
Ag1 0.2421 0.2500 0.7071
Sn1 0.1975 0.7500 0.4823
S1 0.0337 0.2500 0.6142
S2 0.0612 0.7500 0.1062
S3 0.2446 0.7500 0.8362
```

Computed properties:
calculated density: 5.87 g/cm3


Run B
A plane-wave DFT calculation with PBE-GGA was carried out for crystalline HoAgSnS3 at its relaxed geometry.

```
data_HoAgSnS3
_symmetry_space_group_name_H-M 'P n m a'
_symmetry_Int_Tables_number 62
_cell_length_a 8.4747
_cell_length_b 3.9982
_cell_length_c 16.6175
_cell_angle_alpha 90.00
_cell_angle_beta 90.00
_cell_angle_gamma 90.00
loop_
_symmetry_equiv_pos_as_xyz
'x,y,z'
'-x,-y,-z'
'-x+1/2,-y,z+1/2'
'x+1/2,y,-z+1/2'
'x+1/2,-y+1/2,-z+1/2'
'-x+1/2,y+1/2,z+1/2'
'-x,y+1/2,-z'
'x,-y+1/2,z'
loop_
_atom_site_label
_atom_site_fract_x
_atom_site_fract_y
_atom_site_fract_z
Ho1 0.1832 0.2500 0.0598
Ag1 0.0967 0.2500 0.3905
Sn1 0.1621 0.2500 0.7601
S1 0.0991 0.2500 0.6042
S2 0.1291 0.2500 0.2222
S3 0.1358 0.7500 0.9507
```

Computed properties:
calculated density: 5.75 g/cm3


Run C
A plane-wave DFT calculation with PBE-GGA was carried out for crystalline HoAgSnS3 at its relaxed geometry.

```
data_HoAgSnS3
_symmetry_space_group_name_H-M 'C 1 2/m 1'
_symmetry_Int_Tables_number 12
_cell_length_a 17.2060
_cell_length_b 3.9016
_cell_length_c 8.3298
_cell_angle_alpha 90.00
_cell_angle_beta 103.80
_cell_angle_gamma 90.00
loop_
_symmetry_equiv_pos_as_xyz
'x,y,z'
'-x,-y,-z'
'-x,y,-z'
'x,-y,z'
'x+1/2,y+1/2,z'
'-x+1/2,-y+1/2,-z'
'-x+1/2,y+1/2,-z'
'x+1/2,-y+1/2,z'
loop_
_atom_site_label
_atom_site_fract_x
_atom_site_fract_y
_atom_site_fract_z
Ho1 0.1647 0.0000 0.0891
Ag1 0.0264 0.5000 0.2151
Sn1 0.1332 0.0000 0.5752
S1 0.0000 0.0000 0.0000
S2 0.0000 0.5000 0.5000
S3 0.1717 0.5000 0.8579
S4 0.1840 0.5000 0.3243
```

Computed properties:
calculated density: 5.97 g/cm3


Last place for stability: run A


Run A
A plane-wave DFT calculation with PBE-GGA was carried out for crystalline LuInAg2 at its relaxed geometry.

```
data_LuInAg2
_symmetry_space_group_name_H-M 'F -4 3 m'
_symmetry_Int_Tables_number 216
_symmetry_space_group_name_Hall 'F -4 2 3'
_cell_length_a 6.9078
_cell_length_b 6.9078
_cell_length_c 6.9078
_cell_angle_alpha 90.00
_cell_angle_beta 90.00
_cell_angle_gamma 90.00
loop_
_atom_site_label
_atom_site_fract_x
_atom_site_fract_y
_atom_site_fract_z
Lu1 0.0000 0.0000 0.0000
In1 0.2500 0.2500 0.7500
Ag1 0.0000 0.0000 0.5000
Ag2 0.2500 0.2500 0.2500
```

Computed properties:
calculated density: 10.19 g/cm3


Run B
A plane-wave DFT calculation with PBE-GGA was carried out for crystalline LuInAg2 at its relaxed geometry.

```
data_LuInAg2
_symmetry_space_group_name_H-M 'P 63/m m c'
_symmetry_Int_Tables_number 194
_symmetry_space_group_name_Hall '-P 6c 2c'
_cell_length_a 4.7334
_cell_length_b 4.7334
_cell_length_c 8.8387
_cell_angle_alpha 90.00
_cell_angle_beta 90.00
_cell_angle_gamma 120.00
loop_
_atom_site_label
_atom_site_fract_x
_atom_site_fract_y
_atom_site_fract_z
Lu1 0.3333 0.6667 0.2500
In1 0.0000 0.0000 0.0000
Ag1 0.3333 0.6667 0.5915
```

Computed properties:
calculated density: 9.79 g/cm3


Run C
A plane-wave DFT calculation with PBE-GGA was carried out for crystalline LuInAg2 at its relaxed geometry.

```
data_LuInAg2
_symmetry_space_group_name_H-M 'P 63/m m c'
_symmetry_Int_Tables_number 194
_symmetry_space_group_name_Hall '-P 6c 2c'
_cell_length_a 4.8965
_cell_length_b 4.8965
_cell_length_c 8.2624
_cell_angle_alpha 90.00
_cell_angle_beta 90.00
_cell_angle_gamma 120.00
loop_
_atom_site_label
_atom_site_fract_x
_atom_site_fract_y
_atom_site_fract_z
Lu1 0.0000 0.0000 0.0000
In1 0.3333 0.6667 0.2500
Ag1 0.3333 0.6667 0.5900
```

Computed properties:
calculated density: 9.79 g/cm3


Run D
A plane-wave DFT calculation with PBE-GGA was carried out for crystalline LuInAg2 at its relaxed geometry.

```
data_LuInAg2
_symmetry_space_group_name_H-M 'P 63/m m c'
_symmetry_Int_Tables_number 194
_symmetry_space_group_name_Hall '-P 6c 2c'
_cell_length_a 5.0394
_cell_length_b 5.0394
_cell_length_c 8.1876
_cell_angle_alpha 90.00
_cell_angle_beta 90.00
_cell_angle_gamma 120.00
loop_
_atom_site_label
_atom_site_fract_x
_atom_site_fract_y
_atom_site_fract_z
Lu1 0.0000 0.0000 0.2500
In1 0.3333 0.6667 0.2500
Ag1 0.3333 0.6667 0.5836
```

Computed properties:
calculated density: 9.32 g/cm3


Last place for stability: run D


Run A
A plane-wave DFT calculation with PBE-GGA was carried out for crystalline LuInAgTe3 at its relaxed geometry.

```
data_LuInAgTe3
_symmetry_space_group_name_H-M 'C 1 2/m 1'
_symmetry_Int_Tables_number 12
_cell_length_a 19.2254
_cell_length_b 4.2097
_cell_length_c 8.9891
_cell_angle_alpha 90.00
_cell_angle_beta 101.62
_cell_angle_gamma 90.00
loop_
_symmetry_equiv_pos_as_xyz
'x,y,z'
'-x,-y,-z'
'-x,y,-z'
'x,-y,z'
'x+1/2,y+1/2,z'
'-x+1/2,-y+1/2,-z'
'-x+1/2,y+1/2,-z'
'x+1/2,-y+1/2,z'
loop_
_atom_site_label
_atom_site_fract_x
_atom_site_fract_y
_atom_site_fract_z
Lu1 0.1623 0.0000 0.0888
In1 0.1283 0.0000 0.5743
Ag1 0.0401 0.5000 0.2154
Te1 0.0000 0.0000 0.0000
Te2 0.0000 0.5000 0.5000
Te3 0.1760 0.5000 0.8544
Te4 0.1872 0.5000 0.3366
```

Computed properties:
calculated density: 7.27 g/cm3


Run B
A plane-wave DFT calculation with PBE-GGA was carried out for crystalline LuInAgTe3 at its relaxed geometry.

```
data_LuInAgTe3
_symmetry_space_group_name_H-M 'C m c m'
_symmetry_Int_Tables_number 63
_symmetry_space_group_name_Hall '-C 2c 2'
_cell_length_a 4.1663
_cell_length_b 14.9619
_cell_length_c 11.1712
_cell_angle_alpha 90.00
_cell_angle_beta 90.00
_cell_angle_gamma 90.00
loop_
_atom_site_label
_atom_site_fract_x
_atom_site_fract_y
_atom_site_fract_z
Lu1 0.0000 0.0000 0.0000
In1 0.0000 0.2330 0.2500
Ag1 0.0000 0.4681 0.7500
Te1 0.0000 0.0930 0.7500
Te2 0.0000 0.3568 0.5503
```

Computed properties:
calculated density: 7.44 g/cm3


Last place for stability: run A


Run A
A plane-wave DFT calculation with PBE-GGA was carried out for crystalline InAgPbSe3 at its relaxed geometry.

```
data_InAgPbSe3
_symmetry_space_group_name_H-M 'C m c m'
_symmetry_Int_Tables_number 63
_symmetry_space_group_name_Hall '-C 2c 2'
_cell_length_a 4.0427
_cell_length_b 13.9573
_cell_length_c 11.1898
_cell_angle_alpha 90.00
_cell_angle_beta 90.00
_cell_angle_gamma 90.00
loop_
_atom_site_label
_atom_site_fract_x
_atom_site_fract_y
_atom_site_fract_z
In1 0.0000 0.0000 0.0000
Ag1 0.0000 0.3682 0.2500
Pb1 0.0000 0.3108 0.7500
Se1 0.0000 0.0421 0.2500
Se2 0.0000 0.3653 0.0222
```

Computed properties:
calculated density: 7.01 g/cm3


Run B
A plane-wave DFT calculation with PBE-GGA was carried out for crystalline InAgPbSe3 at its relaxed geometry.

```
data_InAgPbSe3
_symmetry_space_group_name_H-M 'C m c m'
_symmetry_Int_Tables_number 63
_symmetry_space_group_name_Hall '-C 2c 2'
_cell_length_a 3.9030
_cell_length_b 13.8134
_cell_length_c 11.3081
_cell_angle_alpha 90.00
_cell_angle_beta 90.00
_cell_angle_gamma 90.00
loop_
_atom_site_label
_atom_site_fract_x
_atom_site_fract_y
_atom_site_fract_z
In1 0.0000 0.2303 0.2500
Ag1 0.0000 0.4791 0.7500
Pb1 0.0000 0.0000 0.0000
Se1 0.0000 0.1154 0.7500
Se2 0.0000 0.3408 0.5820
```

Computed properties:
calculated density: 7.26 g/cm3


Last place for stability: run B


Run A
A plane-wave DFT calculation with PBE-GGA was carried out for crystalline ScInAgPd at its relaxed geometry.

```
data_ScInAgPd
_symmetry_space_group_name_H-M 'F -4 3 m'
_symmetry_Int_Tables_number 216
_symmetry_space_group_name_Hall 'F -4 2 3'
_cell_length_a 6.6742
_cell_length_b 6.6742
_cell_length_c 6.6742
_cell_angle_alpha 90.00
_cell_angle_beta 90.00
_cell_angle_gamma 90.00
loop_
_atom_site_label
_atom_site_fract_x
_atom_site_fract_y
_atom_site_fract_z
Sc1 0.0000 0.0000 0.0000
In1 0.0000 0.0000 0.5000
Ag1 0.2500 0.2500 0.2500
Pd1 0.2500 0.2500 0.7500
```

Computed properties:
calculated density: 8.36 g/cm3


Run B
A plane-wave DFT calculation with PBE-GGA was carried out for crystalline ScInAgPd at its relaxed geometry.

```
data_ScInAgPd
_symmetry_space_group_name_H-M 'F -4 3 m'
_symmetry_Int_Tables_number 216
_symmetry_space_group_name_Hall 'F -4 2 3'
_cell_length_a 6.6736
_cell_length_b 6.6736
_cell_length_c 6.6736
_cell_angle_alpha 90.00
_cell_angle_beta 90.00
_cell_angle_gamma 90.00
loop_
_atom_site_label
_atom_site_fract_x
_atom_site_fract_y
_atom_site_fract_z
Sc1 0.0000 0.0000 0.0000
In1 0.2500 0.2500 0.7500
Ag1 0.2500 0.2500 0.2500
Pd1 0.0000 0.0000 0.5000
```

Computed properties:
calculated density: 8.36 g/cm3


Last place for stability: run B


Run A
A plane-wave DFT calculation with PBE-GGA was carried out for crystalline PrIn2Ag2 at its relaxed geometry.

```
data_PrIn2Ag2
_symmetry_space_group_name_H-M 'P 4/n m m'
_symmetry_Int_Tables_number 129
_cell_length_a 4.5663
_cell_length_b 4.5663
_cell_length_c 11.5702
_cell_angle_alpha 90.00
_cell_angle_beta 90.00
_cell_angle_gamma 90.00
loop_
_symmetry_equiv_pos_as_xyz
'x,y,z'
'-x,-y,-z'
'-y+1/2,x,z'
'y+1/2,-x,-z'
'-x+1/2,-y+1/2,z'
'x+1/2,y+1/2,-z'
'y,-x+1/2,z'
'-y,x+1/2,-z'
'x+1/2,-y,-z'
'-x+1/2,y,z'
'-y,-x,-z'
'y,x,z'
'-x,y+1/2,-z'
'x,-y+1/2,z'
'y+1/2,x+1/2,-z'
'-y+1/2,-x+1/2,z'
loop_
_atom_site_label
_atom_site_fract_x
_atom_site_fract_y
_atom_site_fract_z
Pr1 0.2500 0.2500 0.2455
In1 0.2500 0.2500 0.8662
In2 0.2500 0.7500 0.5000
Ag1 0.2500 0.2500 0.6385
Ag2 0.2500 0.7500 0.0000
```

Computed properties:
calculated density: 8.07 g/cm3


Run B
A plane-wave DFT calculation with PBE-GGA was carried out for crystalline PrIn2Ag2 at its relaxed geometry.

```
data_PrIn2Ag2
_symmetry_space_group_name_H-M 'I 4/m m m'
_symmetry_Int_Tables_number 139
_symmetry_space_group_name_Hall '-I 4 2'
_cell_length_a 4.4381
_cell_length_b 4.4381
_cell_length_c 12.3241
_cell_angle_alpha 90.00
_cell_angle_beta 90.00
_cell_angle_gamma 90.00
loop_
_atom_site_label
_atom_site_fract_x
_atom_site_fract_y
_atom_site_fract_z
Pr1 0.0000 0.0000 0.0000
In1 0.0000 0.5000 0.2500
Ag1 0.0000 0.0000 0.3922
```

Computed properties:
calculated density: 8.02 g/cm3


Last place for stability: run B


Run A
A plane-wave DFT calculation with PBE-GGA was carried out for crystalline InAgSnSe3 at its relaxed geometry.

```
data_InAgSnSe3
_symmetry_space_group_name_H-M 'C m c m'
_symmetry_Int_Tables_number 63
_symmetry_space_group_name_Hall '-C 2c 2'
_cell_length_a 3.9897
_cell_length_b 13.9369
_cell_length_c 11.0773
_cell_angle_alpha 90.00
_cell_angle_beta 90.00
_cell_angle_gamma 90.00
loop_
_atom_site_label
_atom_site_fract_x
_atom_site_fract_y
_atom_site_fract_z
In1 0.0000 0.0000 0.0000
Ag1 0.0000 0.3448 0.2500
Sn1 0.0000 0.3183 0.7500
Se1 0.0000 0.0424 0.2500
Se2 0.0000 0.3646 0.0195
```

Computed properties:
calculated density: 6.24 g/cm3


Run B
A plane-wave DFT calculation with PBE-GGA was carried out for crystalline InAgSnSe3 at its relaxed geometry.

```
data_InAgSnSe3
_symmetry_space_group_name_H-M 'C m c m'
_symmetry_Int_Tables_number 63
_symmetry_space_group_name_Hall '-C 2c 2'
_cell_length_a 3.9092
_cell_length_b 13.6712
_cell_length_c 10.8734
_cell_angle_alpha 90.00
_cell_angle_beta 90.00
_cell_angle_gamma 90.00
loop_
_atom_site_label
_atom_site_fract_x
_atom_site_fract_y
_atom_site_fract_z
In1 0.0000 0.2286 0.2500
Ag1 0.0000 0.4816 0.7500
Sn1 0.0000 0.0000 0.0000
Se1 0.0000 0.1166 0.7500
Se2 0.0000 0.3489 0.5703
```

Computed properties:
calculated density: 6.61 g/cm3


Last place for stability: run B